Arrangement P

Density functional theory data (PBE) for a relaxed structure of Tb3Dy3Th. Values from VASP.

Output
Space group: C2/m, No. 12

Structure (Quantum ESPRESSO input):
```
&SYSTEM
  ibrav = 0, nat = 14, ntyp = 3
/
ATOMIC_SPECIES
Tb 158.93 Tb.upf
Dy 162.50 Dy.upf
Th 232.04 Th.upf
ATOMIC_POSITIONS crystal
Tb 0.029 0.029 0.252
Tb 0.128 0.485 0.753
Tb 0.485 0.128 0.753
Tb 0.515 0.872 0.247
Tb 0.872 0.515 0.247
Tb 0.971 0.971 0.748
Dy 0.184 0.816 0.000
Dy 0.189 0.811 0.500
Dy 0.324 0.324 0.437
Dy 0.676 0.676 0.563
Dy 0.811 0.189 0.500
Dy 0.816 0.184 0.000
Th 0.335 0.335 0.080
Th 0.665 0.665 0.920
CELL_PARAMETERS angstrom
4.422 -4.867 0.000
4.422 4.867 0.000
-0.207 0.000 10.596
```

Arrangement Q

Density functional theory data (PBE) for a relaxed structure of Tb3Dy3Th. Values from VASP.

Output
Space group: P6_3/m, No. 176

Structure (Quantum ESPRESSO input):
```
&SYSTEM
  ibrav = 0, nat = 14, ntyp = 3
/
ATOMIC_SPECIES
Tb 158.93 Tb.upf
Dy 162.50 Dy.upf
Th 232.04 Th.upf
ATOMIC_POSITIONS crystal
Tb 0.054 0.812 0.250
Tb 0.188 0.242 0.250
Tb 0.242 0.054 0.750
Tb 0.758 0.946 0.250
Tb 0.812 0.758 0.750
Tb 0.946 0.188 0.750
Dy 0.095 0.616 0.750
Dy 0.384 0.480 0.750
Dy 0.480 0.095 0.250
Dy 0.520 0.905 0.750
Dy 0.616 0.520 0.250
Dy 0.905 0.384 0.250
Th 0.333 0.667 0.250
Th 0.667 0.333 0.750
CELL_PARAMETERS angstrom
9.563 0.000 0.000
-4.781 8.282 0.000
0.000 0.000 5.700
```

Most stable: arrangement Q. Least stable: arrangement P.

Arrangement P

Density functional theory data (PBE) for a relaxed structure of Tb2DyTh3. Values from VASP.

Output
Space group: Cmcm, No. 63

Structure (Quantum ESPRESSO input):
```
&SYSTEM
  ibrav = 0, nat = 12, ntyp = 3
/
ATOMIC_SPECIES
Tb 158.93 Tb.upf
Dy 162.50 Dy.upf
Th 232.04 Th.upf
ATOMIC_POSITIONS crystal
Tb 0.063 0.603 0.750
Tb 0.397 0.937 0.750
Tb 0.603 0.063 0.250
Tb 0.937 0.397 0.250
Dy 0.270 0.730 0.250
Dy 0.730 0.270 0.750
Th 0.000 0.000 0.000
Th 0.000 0.000 0.500
Th 0.333 0.333 0.000
Th 0.333 0.333 0.500
Th 0.667 0.667 0.000
Th 0.667 0.667 0.500
CELL_PARAMETERS angstrom
5.110 -5.655 0.000
5.110 5.655 0.000
0.000 0.000 6.729
```

Arrangement Q

Density functional theory data (PBE) for a relaxed structure of Tb2DyTh3. Values from VASP.

Output
Space group: P2_1/m, No. 11

Structure (Quantum ESPRESSO input):
```
&SYSTEM
  ibrav = 0, nat = 12, ntyp = 3
/
ATOMIC_SPECIES
Tb 158.93 Tb.upf
Dy 162.50 Dy.upf
Th 232.04 Th.upf
ATOMIC_POSITIONS crystal
Tb 0.127 0.250 0.417
Tb 0.367 0.750 0.914
Tb 0.633 0.250 0.086
Tb 0.873 0.750 0.583
Dy 0.377 0.750 0.252
Dy 0.623 0.250 0.748
Th 0.121 0.250 0.083
Th 0.125 0.250 0.751
Th 0.376 0.750 0.584
Th 0.624 0.250 0.416
Th 0.875 0.750 0.249
Th 0.879 0.750 0.917
CELL_PARAMETERS angstrom
10.069 0.000 0.000
0.000 3.575 0.000
-0.087 0.000 10.692
```

Most stable: arrangement Q. Least stable: arrangement P.

Arrangement P

Density functional theory data (PBE) for a relaxed structure of Tb4DyTh2. Values from VASP.

Output
Space group: P-1, No. 2

Structure (Quantum ESPRESSO input):
```
&SYSTEM
  ibrav = 0, nat = 7, ntyp = 3
/
ATOMIC_SPECIES
Tb 158.93 Tb.upf
Dy 162.50 Dy.upf
Th 232.04 Th.upf
ATOMIC_POSITIONS crystal
Tb 0.077 0.347 0.219
Tb 0.355 0.791 0.072
Tb 0.645 0.209 0.928
Tb 0.923 0.653 0.781
Dy 0.500 0.500 0.500
Th 0.214 0.072 0.640
Th 0.786 0.928 0.360
CELL_PARAMETERS angstrom
3.577 0.000 0.000
1.785 7.733 0.000
0.013 3.294 8.109
```

Arrangement Q

Density functional theory data (PBE) for a relaxed structure of Tb4DyTh2. Values from VASP.

Output
Space group: R-3m, No. 166

Structure (Quantum ESPRESSO input):
```
&SYSTEM
  ibrav = 0, nat = 7, ntyp = 3
/
ATOMIC_SPECIES
Tb 158.93 Tb.upf
Dy 162.50 Dy.upf
Th 232.04 Th.upf
ATOMIC_POSITIONS crystal
Tb 0.142 0.142 0.142
Tb 0.285 0.285 0.285
Tb 0.715 0.715 0.715
Tb 0.858 0.858 0.858
Dy 0.000 0.000 0.000
Th 0.429 0.429 0.429
Th 0.571 0.571 0.571
CELL_PARAMETERS angstrom
1.790 1.034 20.188
-1.790 1.034 20.188
0.000 -2.067 20.188
```

Most stable: arrangement Q. Least stable: arrangement P.

Arrangement P

Density functional theory data (PBE) for a relaxed structure of Tb7DyTh3. Values from VASP.

Output
Space group: P-1, No. 2

Structure (Quantum ESPRESSO input):
```
&SYSTEM
  ibrav = 0, nat = 11, ntyp = 3
/
ATOMIC_SPECIES
Tb 158.93 Tb.upf
Dy 162.50 Dy.upf
Th 232.04 Th.upf
ATOMIC_POSITIONS crystal
Tb 0.000 0.000 0.000
Tb 0.072 0.715 0.644
Tb 0.205 0.231 0.704
Tb 0.492 0.731 0.925
Tb 0.508 0.269 0.075
Tb 0.795 0.769 0.296
Tb 0.928 0.285 0.356
Dy 0.000 0.500 0.000
Th 0.326 0.948 0.335
Th 0.500 0.500 0.500
Th 0.674 0.052 0.665
CELL_PARAMETERS angstrom
6.450 0.000 0.000
-0.801 6.656 0.000
-1.076 -1.851 8.395
```

Arrangement Q

Density functional theory data (PBE) for a relaxed structure of Tb7DyTh3. Values from VASP.

Output
Space group: P3m1, No. 156

Structure (Quantum ESPRESSO input):
```
&SYSTEM
  ibrav = 0, nat = 11, ntyp = 3
/
ATOMIC_SPECIES
Tb 158.93 Tb.upf
Dy 162.50 Dy.upf
Th 232.04 Th.upf
ATOMIC_POSITIONS crystal
Tb 0.000 0.000 0.000
Tb 0.165 0.331 0.343
Tb 0.165 0.835 0.343
Tb 0.501 0.003 0.004
Tb 0.501 0.499 0.004
Tb 0.669 0.835 0.343
Tb 0.997 0.499 0.004
Dy 0.667 0.333 0.346
Th 0.334 0.167 0.673
Th 0.833 0.167 0.673
Th 0.833 0.666 0.673
CELL_PARAMETERS angstrom
7.085 0.000 0.000
-3.543 6.136 0.000
0.000 0.000 8.555
```

Most stable: arrangement P. Least stable: arrangement Q.

Arrangement P

Density functional theory data (PBE) for a relaxed structure of Tb2Dy5Th2. Values from VASP.

Output
Space group: Ima2, No. 46

Structure (Quantum ESPRESSO input):
```
&SYSTEM
  ibrav = 0, nat = 18, ntyp = 3
/
ATOMIC_SPECIES
Tb 158.93 Tb.upf
Dy 162.50 Dy.upf
Th 232.04 Th.upf
ATOMIC_POSITIONS crystal
Tb 0.003 0.125 0.128
Tb 0.003 0.375 0.378
Tb 0.997 0.625 0.622
Tb 0.997 0.875 0.872
Dy 0.095 0.391 0.811
Dy 0.095 0.784 0.203
Dy 0.375 0.895 0.981
Dy 0.420 0.289 0.417
Dy 0.420 0.503 0.631
Dy 0.581 0.284 0.189
Dy 0.581 0.891 0.797
Dy 0.872 0.003 0.583
Dy 0.872 0.789 0.369
Dy 0.914 0.395 0.019
Th 0.468 0.719 0.249
Th 0.470 0.219 0.751
Th 0.535 0.035 0.500
Th 0.535 0.535 0.000
CELL_PARAMETERS angstrom
-7.414 5.937 3.309
7.414 -5.937 3.309
7.414 5.937 -3.309
```

Arrangement Q

Density functional theory data (PBE) for a relaxed structure of Tb2Dy5Th2. Values from VASP.

Output
Space group: C2/m, No. 12

Structure (Quantum ESPRESSO input):
```
&SYSTEM
  ibrav = 0, nat = 9, ntyp = 3
/
ATOMIC_SPECIES
Tb 158.93 Tb.upf
Dy 162.50 Dy.upf
Th 232.04 Th.upf
ATOMIC_POSITIONS crystal
Tb 0.171 0.171 0.161
Tb 0.829 0.829 0.839
Dy 0.000 0.000 0.000
Dy 0.091 0.091 0.731
Dy 0.307 0.307 0.451
Dy 0.693 0.693 0.549
Dy 0.909 0.909 0.269
Th 0.447 0.447 0.645
Th 0.553 0.553 0.355
CELL_PARAMETERS angstrom
11.309 -1.737 0.000
11.309 1.737 0.000
-1.336 0.000 7.942
```

Most stable: arrangement P. Least stable: arrangement Q.

Arrangement P

Density functional theory data (PBE) for a relaxed structure of Tb6Dy4Th. Values from VASP.

Output
Space group: I-42m, No. 121

Structure (Quantum ESPRESSO input):
```
&SYSTEM
  ibrav = 0, nat = 11, ntyp = 3
/
ATOMIC_SPECIES
Tb 158.93 Tb.upf
Dy 162.50 Dy.upf
Th 232.04 Th.upf
ATOMIC_POSITIONS crystal
Tb 0.000 0.500 0.500
Tb 0.051 0.583 0.000
Tb 0.417 0.417 0.468
Tb 0.500 0.000 0.500
Tb 0.583 0.051 0.000
Tb 0.949 0.949 0.532
Dy 0.253 0.253 0.661
Dy 0.408 0.747 0.000
Dy 0.592 0.592 0.339
Dy 0.747 0.408 0.000
Th 0.000 0.000 0.000
CELL_PARAMETERS angstrom
-3.770 3.770 6.613
3.770 -3.770 6.613
3.770 3.770 -6.613
```

Arrangement Q

Density functional theory data (PBE) for a relaxed structure of Tb6Dy4Th. Values from VASP.

Output
Space group: Cmcm, No. 63

Structure (Quantum ESPRESSO input):
```
&SYSTEM
  ibrav = 0, nat = 22, ntyp = 3
/
ATOMIC_SPECIES
Tb 158.93 Tb.upf
Dy 162.50 Dy.upf
Th 232.04 Th.upf
ATOMIC_POSITIONS crystal
Tb 0.000 0.000 0.000
Tb 0.000 0.000 0.500
Tb 0.041 0.959 0.750
Tb 0.300 0.700 0.102
Tb 0.300 0.700 0.398
Tb 0.373 0.627 0.682
Tb 0.373 0.627 0.818
Tb 0.627 0.373 0.182
Tb 0.627 0.373 0.318
Tb 0.700 0.300 0.602
Tb 0.700 0.300 0.898
Tb 0.959 0.041 0.250
Dy 0.043 0.957 0.622
Dy 0.043 0.957 0.878
Dy 0.348 0.652 0.542
Dy 0.348 0.652 0.958
Dy 0.652 0.348 0.042
Dy 0.652 0.348 0.458
Dy 0.957 0.043 0.122
Dy 0.957 0.043 0.378
Th 0.296 0.704 0.250
Th 0.704 0.296 0.750
CELL_PARAMETERS angstrom
2.879 -4.799 0.000
2.879 4.799 0.000
0.000 0.000 25.614
```

Most stable: arrangement Q. Least stable: arrangement P.